1.
# CeSc2Nb3N6, optimized geometry, DFT PBE
# Total magnetization: 0.00 μB/cell
# Calculated total energy: -9.648 eV per atom
# Formation energy (no corrections): -1418 meV/atom
# Space-group type: C2/m (12)
data_CeSc2Nb3N6
_chemical_formula_sum 'Ce1 Sc2 Nb3 N6'
_cell_length_a 5.577
_cell_length_b 5.577
_cell_length_c 5.603
_cell_angle_alpha 99.52
_cell_angle_beta 99.52
_cell_angle_gamma 120.13
_symmetry_space_group_name_H-M 'P 1'
_symmetry_Int_Tables_number 1
_symmetry_space_group_name_Hall 'P 1'
loop_
_atom_site_label
_atom_site_fract_x
_atom_site_fract_y
_atom_site_fract_z
Nb1 0.175 0.825 0.500
Nb2 0.500 0.500 0.500
Nb3 0.825 0.175 0.500
N1 0.914 0.567 0.742
N2 0.740 0.740 0.261
N3 0.433 0.086 0.258
N4 0.567 0.914 0.742
N5 0.260 0.260 0.739
N6 0.086 0.433 0.258
Sc1 0.334 0.666 0.000
Sc2 0.666 0.334 0.000
Ce1 0.000 0.000 0.000

2.
# CeScNbN3, optimized geometry, DFT PBE
# Total magnetization: 0.00 μB/cell
# Calculated total energy: -9.355 eV per atom
# Formation energy (no corrections): -1470 meV/atom
# Space-group type: P2_1/m (11)
data_CeScNbN3
_chemical_formula_sum 'Ce2 Sc2 Nb2 N6'
_cell_length_a 3.302
_cell_length_b 5.677
_cell_length_c 8.463
_cell_angle_alpha 103.19
_cell_angle_beta 90.00
_cell_angle_gamma 90.00
_symmetry_space_group_name_H-M 'P 1'
_symmetry_Int_Tables_number 1
_symmetry_space_group_name_Hall 'P 1'
loop_
_atom_site_label
_atom_site_fract_x
_atom_site_fract_y
_atom_site_fract_z
Nb1 0.750 0.873 0.363
Nb2 0.250 0.127 0.637
Sc1 0.750 0.229 0.951
Sc2 0.250 0.771 0.049
N1 0.750 0.252 0.512
N2 0.750 0.041 0.158
N3 0.750 0.557 0.165
N4 0.250 0.959 0.842
N5 0.250 0.443 0.835
N6 0.250 0.748 0.488
Ce1 0.250 0.353 0.305
Ce2 0.750 0.647 0.695

3.
# CeSm2NbN4, optimized geometry, DFT PBE
# Total magnetization: 1.41 μB/cell
# Calculated total energy: -8.501 eV per atom
# Formation energy (no corrections): -1158 meV/atom
# Space-group type: Cmcm (63)
data_CeSm2NbN4
_chemical_formula_sum 'Ce2 Sm4 Nb2 N8'
_cell_length_a 3.452
_cell_length_b 6.285
_cell_length_c 12.390
_cell_angle_alpha 90.00
_cell_angle_beta 90.00
_cell_angle_gamma 105.94
_symmetry_space_group_name_H-M 'P 1'
_symmetry_Int_Tables_number 1
_symmetry_space_group_name_Hall 'P 1'
loop_
_atom_site_label
_atom_site_fract_x
_atom_site_fract_y
_atom_site_fract_z
Nb1 0.161 0.323 0.250
Nb2 0.839 0.677 0.750
N1 0.000 0.000 0.000
N2 0.265 0.530 0.372
N3 0.552 0.104 0.250
N4 0.735 0.470 0.872
N5 0.265 0.530 0.128
N6 0.000 0.000 0.500
N7 0.735 0.470 0.628
N8 0.448 0.896 0.750
Ce1 0.102 0.203 0.750
Ce2 0.898 0.797 0.250
Sm1 0.630 0.260 0.464
Sm2 0.630 0.260 0.036
Sm3 0.370 0.740 0.536
Sm4 0.370 0.740 0.964

D(E_F) values, unit states/eV per cell, following the record order: 2.60, 6.09, 13.12.